Cd2Cu | PBE | optimized geometry

Properties
Uncorrected energy = -1.829 eV/atom

Cell: 3.0788 3.0788 14.3167 Å, 90.00 90.00 120.00°
Fractional positions:
Cd1 0.0000 0.0000 0.1028
Cd2 0.0000 0.0000 0.3972
Cd3 0.0000 0.0000 0.6028
Cd4 0.0000 0.0000 0.8972
Cu1 0.3333 0.6667 0.2500
Cu2 0.6667 0.3333 0.7500


SnHPd3 | PBE | optimized geometry

Properties
Polymorph energy (0 for the lowest one) = 68 meV/atom

Cell: 9.0124 9.0124 4.1262 Å, 102.96 102.96 25.38°
Fractional positions:
Sn1 0.0756 0.0756 0.3236
Sn2 0.9244 0.9244 0.6764
H1 0.3065 0.3065 0.1019
H2 0.6935 0.6935 0.8981
Pd1 0.1890 0.1890 0.9374
Pd2 0.3153 0.3153 0.5666
Pd3 0.4423 0.4423 0.1934
Pd4 0.5577 0.5577 0.8066
Pd5 0.6847 0.6847 0.4334
Pd6 0.8110 0.8110 0.0626


Sm3Ge5O12 | PBE | optimized geometry

Properties
Formation energy (no corrections) = -2111 meV per atom

Cell: 11.2337 11.2337 11.2337 Å, 109.47 109.47 109.47°
Fractional positions:
Sm1 0.1250 0.2500 0.3750
Sm2 0.1250 0.3750 0.7500
Sm3 0.2500 0.3750 0.1250
Sm4 0.2500 0.8750 0.6250
Sm5 0.3750 0.1250 0.2500
Sm6 0.3750 0.7500 0.1250
Sm7 0.6250 0.2500 0.8750
Sm8 0.6250 0.8750 0.7500
Sm9 0.7500 0.1250 0.3750
Sm10 0.7500 0.6250 0.8750
Sm11 0.8750 0.6250 0.2500
Sm12 0.8750 0.7500 0.6250
Ge1 0.0000 0.0000 0.0000
Ge2 0.0000 0.0000 0.5000
Ge3 0.0000 0.5000 0.0000
Ge4 0.0000 0.5000 0.5000
Ge5 0.1250 0.7500 0.8750
Ge6 0.1250 0.8750 0.2500
Ge7 0.2500 0.1250 0.8750
Ge8 0.2500 0.6250 0.3750
Ge9 0.3750 0.2500 0.6250
Ge10 0.3750 0.6250 0.7500
Ge11 0.5000 0.0000 0.0000
Ge12 0.5000 0.0000 0.5000
Ge13 0.5000 0.5000 0.0000
Ge14 0.5000 0.5000 0.5000
Ge15 0.6250 0.3750 0.2500
Ge16 0.6250 0.7500 0.3750
Ge17 0.7500 0.3750 0.6250
Ge18 0.7500 0.8750 0.1250
Ge19 0.8750 0.1250 0.7500
Ge20 0.8750 0.2500 0.1250
O1 0.0274 0.2254 0.1300
O2 0.0274 0.3020 0.8974
O3 0.0954 0.7254 0.6980
O4 0.0954 0.8700 0.3974
O5 0.1026 0.6300 0.4046
O6 0.1026 0.9726 0.6980
O7 0.1300 0.0274 0.2254
O8 0.1300 0.6026 0.9046
O9 0.1980 0.2254 0.5954
O10 0.1980 0.4726 0.6026
O11 0.2254 0.1300 0.0274
O12 0.2254 0.5954 0.1980
O13 0.2746 0.3020 0.9046
O14 0.2746 0.4726 0.3700
O15 0.3020 0.8974 0.0274
O16 0.3020 0.9046 0.2746
O17 0.3700 0.2746 0.4726
O18 0.3700 0.5954 0.8974
O19 0.3974 0.0954 0.8700
O20 0.3974 0.8020 0.5274
O21 0.4046 0.1026 0.6300
O22 0.4046 0.8020 0.7746
O23 0.4726 0.3700 0.2746
O24 0.4726 0.6026 0.1980
O25 0.5274 0.3974 0.8020
O26 0.5274 0.6300 0.7254
O27 0.5954 0.1980 0.2254
O28 0.5954 0.8974 0.3700
O29 0.6026 0.1980 0.4726
O30 0.6026 0.9046 0.1300
O31 0.6300 0.4046 0.1026
O32 0.6300 0.7254 0.5274
O33 0.6980 0.0954 0.7254
O34 0.6980 0.1026 0.9726
O35 0.7254 0.5274 0.6300
O36 0.7254 0.6980 0.0954
O37 0.7746 0.4046 0.8020
O38 0.7746 0.8700 0.9726
O39 0.8020 0.5274 0.3974
O40 0.8020 0.7746 0.4046
O41 0.8700 0.3974 0.0954
O42 0.8700 0.9726 0.7746
O43 0.8974 0.0274 0.3020
O44 0.8974 0.3700 0.5954
O45 0.9046 0.1300 0.6026
O46 0.9046 0.2746 0.3020
O47 0.9726 0.6980 0.1026
O48 0.9726 0.7746 0.8700


Ρ (computed, g/cm3): 8.15; 10.43; 6.12